The following is a DFT calculation (PBE-GGA) of a relaxed structure of TaW2.

space-group type	P6_3/mmc
formation enthalpy at 0 K	0.27	eV/atom

CIF file:
```
data_TaW2
_symmetry_space_group_name_H-M 'P 1'
_symmetry_Int_Tables_number 1
_symmetry_space_group_name_Hall 'P 1'
_cell_length_a 5.279
_cell_length_b 5.279
_cell_length_c 17.378
_cell_angle_alpha 90.00
_cell_angle_beta 90.00
_cell_angle_gamma 120.00
loop_
_atom_site_label
_atom_site_fract_x
_atom_site_fract_y
_atom_site_fract_z
_atom_site_occupancy
Ta1 0.000 0.000 0.096 1
Ta2 0.333 0.667 0.124 1
Ta3 0.333 0.667 0.376 1
Ta4 0.000 0.000 0.404 1
Ta5 0.000 0.000 0.596 1
Ta6 0.667 0.333 0.624 1
Ta7 0.667 0.333 0.876 1
Ta8 0.000 0.000 0.904 1
W1 0.500 0.000 0.000 1
W2 0.000 0.500 0.000 1
W3 0.500 0.500 0.000 1
W4 0.667 0.333 0.157 1
W5 0.162 0.325 0.250 1
W6 0.162 0.838 0.250 1
W7 0.675 0.838 0.250 1
W8 0.667 0.333 0.343 1
W9 0.500 0.000 0.500 1
W10 0.000 0.500 0.500 1
W11 0.500 0.500 0.500 1
W12 0.333 0.667 0.657 1
W13 0.325 0.162 0.750 1
W14 0.838 0.162 0.750 1
W15 0.838 0.675 0.750 1
W16 0.333 0.667 0.843 1
```


The following is a DFT calculation (PBE-GGA) of a relaxed structure of TaW2.

space-group type	P6_3/mmc
formation enthalpy at 0 K	0.07	eV/atom

CIF file:
```
data_TaW2
_symmetry_space_group_name_H-M 'P 1'
_symmetry_Int_Tables_number 1
_symmetry_space_group_name_Hall 'P 1'
_cell_length_a 5.297
_cell_length_b 5.297
_cell_length_c 17.284
_cell_angle_alpha 90.00
_cell_angle_beta 90.00
_cell_angle_gamma 120.00
loop_
_atom_site_label
_atom_site_fract_x
_atom_site_fract_y
_atom_site_fract_z
_atom_site_occupancy
Ta1 0.000 0.000 0.095 1
Ta2 0.667 0.333 0.156 1
Ta3 0.667 0.333 0.344 1
Ta4 0.000 0.000 0.405 1
Ta5 0.000 0.000 0.595 1
Ta6 0.333 0.667 0.656 1
Ta7 0.333 0.667 0.844 1
Ta8 0.000 0.000 0.905 1
W1 0.500 0.000 0.000 1
W2 0.000 0.500 0.000 1
W3 0.500 0.500 0.000 1
W4 0.333 0.667 0.124 1
W5 0.163 0.326 0.250 1
W6 0.163 0.837 0.250 1
W7 0.674 0.837 0.250 1
W8 0.333 0.667 0.376 1
W9 0.500 0.000 0.500 1
W10 0.000 0.500 0.500 1
W11 0.500 0.500 0.500 1
W12 0.667 0.333 0.624 1
W13 0.326 0.163 0.750 1
W14 0.837 0.163 0.750 1
W15 0.837 0.674 0.750 1
W16 0.667 0.333 0.876 1
```


The following is a DFT calculation (PBE-GGA) of a relaxed structure of TaW2.

space-group type	Cmcm
formation enthalpy at 0 K	0.44	eV/atom

CIF file:
```
data_TaW2
_symmetry_space_group_name_H-M 'P 1'
_symmetry_Int_Tables_number 1
_symmetry_space_group_name_Hall 'P 1'
_cell_length_a 5.299
_cell_length_b 5.299
_cell_length_c 8.568
_cell_angle_alpha 90.00
_cell_angle_beta 90.00
_cell_angle_gamma 119.10
loop_
_atom_site_label
_atom_site_fract_x
_atom_site_fract_y
_atom_site_fract_z
_atom_site_occupancy
Ta1 0.160 0.328 0.250 1
Ta2 0.672 0.840 0.250 1
Ta3 0.328 0.160 0.750 1
Ta4 0.840 0.672 0.750 1
W1 0.500 0.500 0.000 1
W2 0.170 0.830 0.045 1
W3 0.670 0.330 0.250 1
W4 0.170 0.830 0.455 1
W5 0.500 0.500 0.500 1
W6 0.830 0.170 0.545 1
W7 0.330 0.670 0.750 1
W8 0.830 0.170 0.955 1
```


The following is a DFT calculation (PBE-GGA) of a relaxed structure of Ta3W10.

space-group type	R-3m
formation enthalpy at 0 K	0.19	eV/atom
offset from the most stable computed form	0.0	meV/atom

CIF file:
```
data_Ta3W10
_symmetry_space_group_name_H-M 'P 1'
_symmetry_Int_Tables_number 1
_symmetry_space_group_name_Hall 'P 1'
_cell_length_a 9.880
_cell_length_b 9.880
_cell_length_c 9.880
_cell_angle_alpha 30.71
_cell_angle_beta 30.71
_cell_angle_gamma 30.71
loop_
_atom_site_label
_atom_site_fract_x
_atom_site_fract_y
_atom_site_fract_z
_atom_site_occupancy
Ta1 0.000 0.000 0.000 1
Ta2 0.352 0.352 0.352 1
Ta3 0.648 0.648 0.648 1
W1 0.584 0.089 0.089 1
W2 0.089 0.584 0.089 1
W3 0.168 0.168 0.168 1
W4 0.911 0.911 0.416 1
W5 0.456 0.456 0.456 1
W6 0.544 0.544 0.544 1
W7 0.089 0.089 0.584 1
W8 0.832 0.832 0.832 1
W9 0.911 0.416 0.911 1
W10 0.416 0.911 0.911 1
```


The following is a DFT calculation (PBE-GGA) of a relaxed structure of Ta24W5.

space-group type	I-43m
formation enthalpy at 0 K	0.22	eV/atom

CIF file:
```
data_Ta24W5
_symmetry_space_group_name_H-M 'P 1'
_symmetry_Int_Tables_number 1
_symmetry_space_group_name_Hall 'P 1'
_cell_length_a 8.830
_cell_length_b 8.830
_cell_length_c 8.830
_cell_angle_alpha 109.47
_cell_angle_beta 109.47
_cell_angle_gamma 109.47
loop_
_atom_site_label
_atom_site_fract_x
_atom_site_fract_y
_atom_site_fract_z
_atom_site_occupancy
Ta1 0.371 0.186 0.000 1
Ta2 0.186 0.371 0.000 1
Ta3 0.682 0.403 0.000 1
Ta4 0.403 0.682 0.000 1
Ta5 0.814 0.814 0.185 1
Ta6 0.371 0.000 0.186 1
Ta7 0.000 0.371 0.186 1
Ta8 0.597 0.597 0.278 1
Ta9 0.722 0.318 0.318 1
Ta10 0.318 0.722 0.318 1
Ta11 0.186 0.000 0.371 1
Ta12 0.000 0.186 0.371 1
Ta13 0.682 0.000 0.403 1
Ta14 0.000 0.682 0.403 1
Ta15 0.597 0.278 0.597 1
Ta16 0.278 0.597 0.597 1
Ta17 0.815 0.629 0.629 1
Ta18 0.629 0.815 0.629 1
Ta19 0.403 0.000 0.682 1
Ta20 0.000 0.403 0.682 1
Ta21 0.318 0.318 0.722 1
Ta22 0.814 0.185 0.814 1
Ta23 0.185 0.814 0.814 1
Ta24 0.629 0.629 0.815 1
W1 0.000 0.000 0.000 1
W2 0.632 0.000 0.000 1
W3 0.000 0.632 0.000 1
W4 0.368 0.368 0.368 1
W5 0.000 0.000 0.632 1
```


The following is a DFT calculation (PBE-GGA) of a relaxed structure of Ta8W7.

space-group type	P4_2/mnm
formation enthalpy at 0 K	0.10	eV/atom
offset from the most stable computed form	74.5	meV/atom

CIF file:
```
data_Ta8W7
_symmetry_space_group_name_H-M 'P 1'
_symmetry_Int_Tables_number 1
_symmetry_space_group_name_Hall 'P 1'
_cell_length_a 10.020
_cell_length_b 10.020
_cell_length_c 5.243
_cell_angle_alpha 90.00
_cell_angle_beta 90.00
_cell_angle_gamma 90.00
loop_
_atom_site_label
_atom_site_fract_x
_atom_site_fract_y
_atom_site_fract_z
_atom_site_occupancy
Ta1 0.743 0.063 0.000 1
Ta2 0.465 0.133 0.000 1
Ta3 0.937 0.257 0.000 1
Ta4 0.133 0.465 0.000 1
Ta5 0.867 0.535 0.000 1
Ta6 0.063 0.743 0.000 1
Ta7 0.535 0.867 0.000 1
Ta8 0.257 0.937 0.000 1
Ta9 0.633 0.035 0.500 1
Ta10 0.437 0.243 0.500 1
Ta11 0.965 0.367 0.500 1
Ta12 0.243 0.437 0.500 1
Ta13 0.757 0.563 0.500 1
Ta14 0.035 0.633 0.500 1
Ta15 0.563 0.757 0.500 1
Ta16 0.367 0.965 0.500 1
W1 0.000 0.000 0.000 1
W2 0.401 0.401 0.000 1
W3 0.599 0.599 0.000 1
W4 0.685 0.315 0.248 1
W5 0.315 0.685 0.248 1
W6 0.185 0.185 0.252 1
W7 0.815 0.815 0.252 1
W8 0.901 0.099 0.500 1
W9 0.500 0.500 0.500 1
W10 0.099 0.901 0.500 1
W11 0.185 0.185 0.748 1
W12 0.815 0.815 0.748 1
W13 0.685 0.315 0.752 1
W14 0.315 0.685 0.752 1
```


The following is a DFT calculation (PBE-GGA) of a relaxed structure of Ta16W13.

space-group type	I-43m
formation enthalpy at 0 K	0.10	eV/atom
offset from the most stable computed form	0.0	meV/atom

CIF file:
```
data_Ta16W13
_symmetry_space_group_name_H-M 'P 1'
_symmetry_Int_Tables_number 1
_symmetry_space_group_name_Hall 'P 1'
_cell_length_a 8.745
_cell_length_b 8.745
_cell_length_c 8.745
_cell_angle_alpha 109.47
_cell_angle_beta 109.47
_cell_angle_gamma 109.47
loop_
_atom_site_label
_atom_site_fract_x
_atom_site_fract_y
_atom_site_fract_z
_atom_site_occupancy
Ta1 0.637 0.000 0.000 1
Ta2 0.679 0.401 0.000 1
Ta3 0.000 0.637 0.000 1
Ta4 0.401 0.679 0.000 1
Ta5 0.599 0.599 0.278 1
Ta6 0.722 0.321 0.321 1
Ta7 0.321 0.722 0.321 1
Ta8 0.363 0.363 0.363 1
Ta9 0.679 0.000 0.401 1
Ta10 0.000 0.679 0.401 1
Ta11 0.599 0.278 0.599 1
Ta12 0.278 0.599 0.599 1
Ta13 0.000 0.000 0.637 1
Ta14 0.401 0.000 0.679 1
Ta15 0.000 0.401 0.679 1
Ta16 0.321 0.321 0.722 1
W1 0.000 0.000 0.000 1
W2 0.370 0.185 0.000 1
W3 0.185 0.370 0.000 1
W4 0.370 0.000 0.185 1
W5 0.000 0.370 0.185 1
W6 0.815 0.815 0.185 1
W7 0.185 0.000 0.370 1
W8 0.000 0.185 0.370 1
W9 0.815 0.630 0.630 1
W10 0.630 0.815 0.630 1
W11 0.630 0.630 0.815 1
W12 0.815 0.185 0.815 1
W13 0.185 0.815 0.815 1
```


The following is a DFT calculation (PBE-GGA) of a relaxed structure of Ta7W6.

space-group type	R-3m
formation enthalpy at 0 K	0.01	eV/atom
offset from the most stable computed form	0.0	meV/atom

CIF file:
```
data_Ta7W6
_symmetry_space_group_name_H-M 'P 1'
_symmetry_Int_Tables_number 1
_symmetry_space_group_name_Hall 'P 1'
_cell_length_a 10.021
_cell_length_b 10.021
_cell_length_c 10.021
_cell_angle_alpha 30.64
_cell_angle_beta 30.64
_cell_angle_gamma 30.64
loop_
_atom_site_label
_atom_site_fract_x
_atom_site_fract_y
_atom_site_fract_z
_atom_site_occupancy
Ta1 0.000 0.000 0.000 1
Ta2 0.168 0.168 0.168 1
Ta3 0.351 0.351 0.351 1
Ta4 0.454 0.454 0.454 1
Ta5 0.546 0.546 0.546 1
Ta6 0.649 0.649 0.649 1
Ta7 0.832 0.832 0.832 1
W1 0.586 0.091 0.091 1
W2 0.091 0.586 0.091 1
W3 0.909 0.909 0.414 1
W4 0.091 0.091 0.586 1
W5 0.909 0.414 0.909 1
W6 0.414 0.909 0.909 1
```


The following is a DFT calculation (PBE-GGA) of a relaxed structure of TaW3.

space-group type	P6_3/mmc
formation enthalpy at 0 K	0.44	eV/atom

CIF file:
```
data_TaW3
_symmetry_space_group_name_H-M 'P 1'
_symmetry_Int_Tables_number 1
_symmetry_space_group_name_Hall 'P 1'
_cell_length_a 5.289
_cell_length_b 5.289
_cell_length_c 17.183
_cell_angle_alpha 90.00
_cell_angle_beta 90.00
_cell_angle_gamma 120.00
loop_
_atom_site_label
_atom_site_fract_x
_atom_site_fract_y
_atom_site_fract_z
_atom_site_occupancy
Ta1 0.500 0.000 0.000 1
Ta2 0.000 0.500 0.000 1
Ta3 0.500 0.500 0.000 1
Ta4 0.500 0.000 0.500 1
Ta5 0.000 0.500 0.500 1
Ta6 0.500 0.500 0.500 1
W1 0.000 0.000 0.104 1
W2 0.333 0.667 0.127 1
W3 0.667 0.333 0.151 1
W4 0.163 0.326 0.250 1
W5 0.163 0.837 0.250 1
W6 0.674 0.837 0.250 1
W7 0.667 0.333 0.349 1
W8 0.333 0.667 0.373 1
W9 0.000 0.000 0.396 1
W10 0.000 0.000 0.604 1
W11 0.667 0.333 0.627 1
W12 0.333 0.667 0.651 1
W13 0.326 0.163 0.750 1
W14 0.837 0.163 0.750 1
W15 0.837 0.674 0.750 1
W16 0.333 0.667 0.849 1
W17 0.667 0.333 0.873 1
W18 0.000 0.000 0.896 1
```


The following is a DFT calculation (PBE-GGA) of a relaxed structure of TaW5.

space-group type	P6_3/mmc
formation enthalpy at 0 K	0.45	eV/atom
offset from the most stable computed form	180.1	meV/atom

CIF file:
```
data_TaW5
_symmetry_space_group_name_H-M 'P 1'
_symmetry_Int_Tables_number 1
_symmetry_space_group_name_Hall 'P 1'
_cell_length_a 5.249
_cell_length_b 5.249
_cell_length_c 17.271
_cell_angle_alpha 90.00
_cell_angle_beta 90.00
_cell_angle_gamma 120.00
loop_
_atom_site_label
_atom_site_fract_x
_atom_site_fract_y
_atom_site_fract_z
_atom_site_occupancy
Ta1 0.333 0.667 0.123 1
Ta2 0.333 0.667 0.377 1
Ta3 0.667 0.333 0.623 1
Ta4 0.667 0.333 0.877 1
W1 0.500 0.000 0.000 1
W2 0.000 0.500 0.000 1
W3 0.500 0.500 0.000 1
W4 0.000 0.000 0.099 1
W5 0.667 0.333 0.158 1
W6 0.163 0.325 0.250 1
W7 0.163 0.837 0.250 1
W8 0.675 0.837 0.250 1
W9 0.667 0.333 0.342 1
W10 0.000 0.000 0.401 1
W11 0.500 0.000 0.500 1
W12 0.000 0.500 0.500 1
W13 0.500 0.500 0.500 1
W14 0.000 0.000 0.599 1
W15 0.333 0.667 0.658 1
W16 0.325 0.163 0.750 1
W17 0.837 0.163 0.750 1
W18 0.837 0.675 0.750 1
W19 0.333 0.667 0.842 1
W20 0.000 0.000 0.901 1
```


The following is a DFT calculation (PBE-GGA) of a relaxed structure of TaW2.

space-group type	P4_2/mnm
formation enthalpy at 0 K	0.17	eV/atom

CIF file:
```
data_TaW2
_symmetry_space_group_name_H-M 'P 1'
_symmetry_Int_Tables_number 1
_symmetry_space_group_name_Hall 'P 1'
_cell_length_a 9.934
_cell_length_b 9.934
_cell_length_c 5.201
_cell_angle_alpha 90.00
_cell_angle_beta 90.00
_cell_angle_gamma 90.00
loop_
_atom_site_label
_atom_site_fract_x
_atom_site_fract_y
_atom_site_fract_z
_atom_site_occupancy
Ta1 0.000 0.000 0.000 1
Ta2 0.738 0.062 0.000 1
Ta3 0.938 0.262 0.000 1
Ta4 0.062 0.738 0.000 1
Ta5 0.262 0.938 0.000 1
Ta6 0.438 0.238 0.500 1
Ta7 0.238 0.438 0.500 1
Ta8 0.500 0.500 0.500 1
Ta9 0.762 0.562 0.500 1
Ta10 0.562 0.762 0.500 1
W1 0.465 0.131 0.000 1
W2 0.397 0.397 0.000 1
W3 0.131 0.465 0.000 1
W4 0.869 0.535 0.000 1
W5 0.603 0.603 0.000 1
W6 0.535 0.869 0.000 1
W7 0.686 0.314 0.250 1
W8 0.314 0.686 0.250 1
W9 0.186 0.186 0.250 1
W10 0.814 0.814 0.250 1
W11 0.631 0.035 0.500 1
W12 0.897 0.103 0.500 1
W13 0.965 0.369 0.500 1
W14 0.035 0.631 0.500 1
W15 0.103 0.897 0.500 1
W16 0.369 0.965 0.500 1
W17 0.186 0.186 0.750 1
W18 0.814 0.814 0.750 1
W19 0.686 0.314 0.750 1
W20 0.314 0.686 0.750 1
```


The following is a DFT calculation (PBE-GGA) of a relaxed structure of Ta5W3.

space-group type	P4/mmm
formation enthalpy at 0 K	-0.08	eV/atom

CIF file:
```
data_Ta5W3
_symmetry_space_group_name_H-M 'P 1'
_symmetry_Int_Tables_number 1
_symmetry_space_group_name_Hall 'P 1'
_cell_length_a 3.254
_cell_length_b 3.254
_cell_length_c 13.082
_cell_angle_alpha 90.00
_cell_angle_beta 90.00
_cell_angle_gamma 90.00
loop_
_atom_site_label
_atom_site_fract_x
_atom_site_fract_y
_atom_site_fract_z
_atom_site_occupancy
Ta1 0.500 0.500 0.000 1
Ta2 0.500 0.500 0.245 1
Ta3 0.000 0.000 0.379 1
Ta4 0.000 0.000 0.621 1
Ta5 0.500 0.500 0.755 1
W1 0.000 0.000 0.125 1
W2 0.500 0.500 0.500 1
W3 0.000 0.000 0.875 1
```